Run 1
Below is a geometry-optimized GeBiRh2 structure, with properties calculated at the PBE level.

Properties
As for the crystal system: trigonal.

abc: 3.920 3.920 6.174
angles: 71.49 71.49 60.00
Element x y z (fractional)
Ge1 0.671 0.671 0.987
Bi1 0.498 0.498 0.506
Rh1 0.057 0.057 0.830
Rh2 0.274 0.274 0.178

***

Run 2
Below is a geometry-optimized GeBiRh2 structure, with properties calculated at the PBE level.

Properties
As for the crystal system: cubic.

abc: 4.621 4.621 4.621
angles: 60.00 60.00 60.00
Element x y z (fractional)
Ge1 0.000 0.000 0.000
Rh1 0.250 0.250 0.250
Rh2 0.750 0.750 0.750
Bi1 0.500 0.500 0.500

***

Each structure's energy above the most stable one, in meV/atom: run 1 0; run 2 231.

***

Run 1
Below is a geometry-optimized GeBiRh2 structure, with properties calculated at the PBE level.

Properties
As for the crystal system: orthorhombic.

abc: 5.790 6.770 15.020
angles: 90.00 90.00 90.00
Element x y z (fractional)
Ge1 0.197 0.050 0.945
Ge2 0.197 0.550 0.555
Ge3 0.697 0.450 0.945
Ge4 0.303 0.050 0.445
Ge5 0.803 0.950 0.055
Ge6 0.803 0.450 0.445
Ge7 0.303 0.550 0.055
Ge8 0.697 0.950 0.555
Bi1 0.291 0.087 0.688
Bi2 0.791 0.913 0.812
Bi3 0.209 0.587 0.312
Bi4 0.709 0.413 0.188
Bi5 0.709 0.913 0.312
Bi6 0.209 0.087 0.188
Bi7 0.791 0.413 0.688
Bi8 0.291 0.587 0.812
Rh1 0.983 0.288 0.846
Rh2 0.517 0.788 0.154
Rh3 0.483 0.712 0.654
Rh4 0.010 0.208 0.546
Rh5 0.983 0.788 0.654
Rh6 0.483 0.212 0.846
Rh7 0.517 0.288 0.346
Rh8 0.017 0.712 0.154
Rh9 0.990 0.792 0.454
Rh10 0.010 0.708 0.954
Rh11 0.510 0.292 0.546
Rh12 0.490 0.208 0.046
Rh13 0.510 0.792 0.954
Rh14 0.990 0.292 0.046
Rh15 0.490 0.708 0.454
Rh16 0.017 0.212 0.346

***

Run 2
Below is a geometry-optimized GeBiRh2 structure, with properties calculated at the PBE level.

Properties
As for the crystal system: tetragonal.

abc: 5.646 5.646 7.251
angles: 67.09 67.09 90.00
Element x y z (fractional)
Ge1 0.500 0.500 0.000
Ge2 0.250 0.750 0.500
Rh1 0.579 0.125 0.250
Rh2 0.171 0.625 0.250
Rh3 0.375 0.421 0.750
Rh4 0.875 0.829 0.750
Bi1 0.000 0.000 0.000
Bi2 0.750 0.250 0.500

***

Each structure's energy above the most stable one, in meV/atom: run 1 0; run 2 477.

***

Run 1
Below is a geometry-optimized GeBiRu2 structure, with properties calculated at the PBE level.

Properties
As for the crystal system: cubic.

abc: 4.570 4.570 4.570
angles: 60.00 60.00 60.00
Element x y z (fractional)
Ru1 0.250 0.250 0.250
Ru2 0.750 0.750 0.750
Ge1 0.000 0.000 0.000
Bi1 0.500 0.500 0.500

***

Run 2
Below is a geometry-optimized GeBiRu2 structure, with properties calculated at the PBE level.

Properties
As for the crystal system: tetragonal.

abc: 5.841 5.841 7.107
angles: 65.74 65.74 90.00
Element x y z (fractional)
Ru1 0.586 0.125 0.250
Ru2 0.164 0.625 0.250
Ru3 0.375 0.414 0.750
Ru4 0.875 0.836 0.750
Ge1 0.500 0.500 0.000
Ge2 0.250 0.750 0.500
Bi1 0.000 0.000 0.000
Bi2 0.750 0.250 0.500

***

Each structure's energy above the most stable one, in meV/atom: run 1 0; run 2 413.

***

Run 1
Below is a geometry-optimized Ge2Bi2S structure, with properties calculated at the PBE level.

Properties
As for the crystal system: tetragonal.

abc: 7.973 7.973 4.410
angles: 90.00 90.00 90.00
Element x y z (fractional)
S1 0.000 0.000 0.000
S2 0.500 0.500 0.000
Ge1 0.107 0.607 0.500
Ge2 0.607 0.893 0.500
Ge3 0.893 0.393 0.500
Ge4 0.393 0.107 0.500
Bi1 0.273 0.773 0.000
Bi2 0.773 0.727 0.000
Bi3 0.727 0.227 0.000
Bi4 0.227 0.273 0.000

***

Run 2
Below is a geometry-optimized Ge2Bi2S structure, with properties calculated at the PBE level.

Properties
As for the crystal system: tetragonal.

abc: 5.782 5.782 5.609
angles: 58.97 58.97 90.00
Element x y z (fractional)
S1 0.000 0.000 0.000
Ge1 0.328 0.328 0.345
Ge2 0.672 0.672 0.655
Bi1 0.750 0.250 0.500
Bi2 0.250 0.750 0.500

***

Run 3
Below is a geometry-optimized Ge2Bi2S structure, with properties calculated at the PBE level.

Properties
As for the crystal system: tetragonal.

abc: 6.628 6.628 5.899
angles: 90.00 90.00 90.00
Element x y z (fractional)
S1 0.000 0.000 0.000
S2 0.500 0.500 0.000
Ge1 0.353 0.853 0.000
Ge2 0.853 0.647 0.000
Ge3 0.647 0.147 0.000
Ge4 0.147 0.353 0.000
Bi1 0.288 0.788 0.500
Bi2 0.788 0.712 0.500
Bi3 0.712 0.212 0.500
Bi4 0.212 0.288 0.500

***

Run 4
Below is a geometry-optimized Ge2Bi2S structure, with properties calculated at the PBE level.

Properties
As for the crystal system: tetragonal.

abc: 3.880 3.880 8.568
angles: 76.91 76.91 90.00
Element x y z (fractional)
S1 0.000 0.000 0.000
Ge1 0.750 0.250 0.500
Ge2 0.250 0.750 0.500
Bi1 0.400 0.400 0.201
Bi2 0.600 0.600 0.799

***

Each structure's energy above the most stable one, in meV/atom: run 1 68; run 2 77; run 3 11; run 4 0.

***

Run 1
Below is a geometry-optimized GeBiS3 structure, with properties calculated at the PBE level.

Properties
As for the crystal system: cubic.

abc: 4.736 4.736 4.736
angles: 90.00 90.00 90.00
Element x y z (fractional)
S1 0.000 0.500 0.000
S2 0.000 0.000 0.500
S3 0.500 0.000 0.000
Ge1 0.000 0.000 0.000
Bi1 0.500 0.500 0.500

***

Run 2
Below is a geometry-optimized GeBiS3 structure, with properties calculated at the PBE level.

Properties
As for the crystal system: cubic.

abc: 5.180 5.180 5.180
angles: 90.00 90.00 90.00
Element x y z (fractional)
S1 0.000 0.500 0.000
S2 0.000 0.000 0.500
S3 0.500 0.000 0.000
Ge1 0.500 0.500 0.500
Bi1 0.000 0.000 0.000

***

Run 3
Below is a geometry-optimized GeBiS3 structure, with properties calculated at the PBE level.

Properties
As for the crystal system: orthorhombic.

abc: 7.113 7.113 7.113
angles: 120.04 102.12 106.82
Element x y z (fractional)
Ge1 0.659 0.019 0.140
Ge2 0.879 0.519 0.860
Bi1 0.779 0.784 0.495
Bi2 0.289 0.284 0.505
S1 0.077 0.297 0.796
S2 0.077 0.781 0.279
S3 0.502 0.797 0.721
S4 0.992 0.277 0.215
S5 0.502 0.281 0.204
S6 0.062 0.777 0.785

***

Each structure's energy above the most stable one, in meV/atom: run 1 197; run 2 654; run 3 0.

***

Run 1
Below is a geometry-optimized GeBi2Sb structure, with properties calculated at the PBE level.

Properties
As for the crystal system: trigonal.

abc: 4.218 4.218 8.561
angles: 75.74 75.74 60.00
Element x y z (fractional)
Ge1 0.660 0.660 0.020
Bi1 0.084 0.084 0.749
Bi2 0.267 0.267 0.200
Sb1 0.490 0.490 0.531

***

Run 2
Below is a geometry-optimized GeBi2Sb structure, with properties calculated at the PBE level.

Properties
As for the crystal system: trigonal.

abc: 4.336 4.336 7.751
angles: 73.76 73.76 60.00
Element x y z (fractional)
Sb1 0.500 0.500 0.500
Ge1 0.000 0.000 0.000
Bi1 0.256 0.256 0.231
Bi2 0.744 0.744 0.769

***

Run 3
Below is a geometry-optimized GeBi2Sb structure, with properties calculated at the PBE level.

Properties
As for the crystal system: tetragonal.

abc: 7.255 7.255 7.907
angles: 62.69 62.69 90.00
Element x y z (fractional)
Sb1 0.000 0.000 0.000
Sb2 0.750 0.250 0.500
Ge1 0.500 0.500 0.000
Ge2 0.250 0.750 0.500
Bi1 0.600 0.125 0.250
Bi2 0.150 0.625 0.250
Bi3 0.375 0.400 0.750
Bi4 0.875 0.850 0.750

***

Run 4
Below is a geometry-optimized GeBi2Sb structure, with properties calculated at the PBE level.

Properties
As for the crystal system: cubic.

abc: 5.411 5.411 5.411
angles: 60.00 60.00 60.00
Element x y z (fractional)
Sb1 0.500 0.500 0.500
Ge1 0.000 0.000 0.000
Bi1 0.250 0.250 0.250
Bi2 0.750 0.750 0.750

***

Each structure's energy above the most stable one, in meV/atom: run 1 20; run 2 0; run 3 176; run 4 125.

***

Run 1
Below is a geometry-optimized Ge2BiSb2 structure, with properties calculated at the PBE level.

Properties
As for the crystal system: tetragonal.

abc: 4.196 4.196 8.237
angles: 75.24 75.24 90.00
Element x y z (fractional)
Sb1 0.750 0.250 0.500
Sb2 0.250 0.750 0.500
Ge1 0.411 0.411 0.178
Ge2 0.589 0.589 0.822
Bi1 0.000 0.000 0.000

***

Run 2
Below is a geometry-optimized Ge2BiSb2 structure, with properties calculated at the PBE level.

Properties
As for the crystal system: tetragonal.

abc: 8.216 8.216 3.734
angles: 90.00 90.00 90.00
Element x y z (fractional)
Sb1 0.160 0.660 0.500
Sb2 0.660 0.840 0.500
Sb3 0.840 0.340 0.500
Sb4 0.340 0.160 0.500
Ge1 0.363 0.863 0.000
Ge2 0.863 0.637 0.000
Ge3 0.637 0.137 0.000
Ge4 0.137 0.363 0.000
Bi1 0.000 0.000 0.000
Bi2 0.500 0.500 0.000

***

Run 3
Below is a geometry-optimized Ge2BiSb2 structure, with properties calculated at the PBE level.

Properties
As for the crystal system: tetragonal.

abc: 4.030 4.030 8.583
angles: 76.42 76.42 90.00
Element x y z (fractional)
Sb1 0.392 0.392 0.216
Sb2 0.608 0.608 0.784
Ge1 0.750 0.250 0.500
Ge2 0.250 0.750 0.500
Bi1 0.000 0.000 0.000

***

Each structure's energy above the most stable one, in meV/atom: run 1 90; run 2 29; run 3 0.

***

Run 1
Below is a geometry-optimized GeBiSb3 structure, with properties calculated at the PBE level.

Properties
As for the crystal system: cubic.

abc: 5.358 5.358 5.358
angles: 90.00 90.00 90.00
Element x y z (fractional)
Sb1 0.000 0.500 0.000
Sb2 0.000 0.000 0.500
Sb3 0.500 0.000 0.000
Ge1 0.000 0.000 0.000
Bi1 0.500 0.500 0.500

***

Run 2
Below is a geometry-optimized GeBiSb3 structure, with properties calculated at the PBE level.

Properties
As for the crystal system: cubic.

abc: 5.787 5.787 5.787
angles: 90.00 90.00 90.00
Element x y z (fractional)
Sb1 0.000 0.500 0.000
Sb2 0.000 0.000 0.500
Sb3 0.500 0.000 0.000
Ge1 0.500 0.500 0.500
Bi1 0.000 0.000 0.000

***

Each structure's energy above the most stable one, in meV/atom: run 1 0; run 2 562.

***

Run 1
Below is a geometry-optimized GeBiSb2 structure, with properties calculated at the PBE level.

Properties
As for the crystal system: tetragonal.

abc: 7.301 7.301 7.435
angles: 60.60 60.60 90.00
Element x y z (fractional)
Sb1 0.585 0.125 0.250
Sb2 0.165 0.625 0.250
Sb3 0.375 0.415 0.750
Sb4 0.875 0.835 0.750
Ge1 0.500 0.500 0.000
Ge2 0.250 0.750 0.500
Bi1 0.000 0.000 0.000
Bi2 0.750 0.250 0.500

***

Run 2
Below is a geometry-optimized GeBiSb2 structure, with properties calculated at the PBE level.

Properties
As for the crystal system: trigonal.

abc: 4.265 4.265 7.646
angles: 73.80 73.80 60.00
Element x y z (fractional)
Sb1 0.241 0.241 0.278
Sb2 0.759 0.759 0.722
Ge1 0.500 0.500 0.500
Bi1 0.000 0.000 0.000

***

Each structure's energy above the most stable one, in meV/atom: run 1 140; run 2 0.

***

Run 1
Below is a geometry-optimized GeBiSb2 structure, with properties calculated at the PBE level.

Properties
As for the crystal system: cubic.

abc: 5.349 5.349 5.349
angles: 60.00 60.00 60.00
Element x y z (fractional)
Sb1 0.250 0.250 0.250
Sb2 0.750 0.750 0.750
Ge1 0.000 0.000 0.000
Bi1 0.500 0.500 0.500

***

Run 2
Below is a geometry-optimized GeBiSb2 structure, with properties calculated at the PBE level.

Properties
As for the crystal system: trigonal.

abc: 4.152 4.152 8.454
angles: 75.79 75.79 60.00
Element x y z (fractional)
Ge1 0.659 0.659 0.022
Bi1 0.489 0.489 0.532
Sb1 0.081 0.081 0.757
Sb2 0.270 0.270 0.189

***

Each structure's energy above the most stable one, in meV/atom: run 1 178; run 2 0.